Entry 1:
# K2Ba4Sr PBE relaxed
data_K2Ba4Sr
_symmetry_space_group_name_H-M 'C m m m'
_symmetry_Int_Tables_number 65
_symmetry_space_group_name_Hall '-C 2 2'
_cell_length_a 4.399
_cell_length_b 48.117
_cell_length_c 4.381
_cell_angle_alpha 90.00
_cell_angle_beta 90.00
_cell_angle_gamma 90.00
loop_
_atom_site_label
_atom_site_fract_x
_atom_site_fract_y
_atom_site_fract_z
K1 0.000 0.208 0.000
Ba1 0.000 0.065 0.000
Ba2 0.000 0.366 0.500
Sr1 0.000 0.500 0.500
# Formation energy from the elements in meV per atom: 51
# Crystal system: orthorhombic



Entry 2:
# KBaSr2 PBE relaxed
data_KBaSr2
_symmetry_space_group_name_H-M 'P 4/m m m'
_symmetry_Int_Tables_number 123
_symmetry_space_group_name_Hall '-P 4 2'
_cell_length_a 4.967
_cell_length_b 4.967
_cell_length_c 9.847
_cell_angle_alpha 90.00
_cell_angle_beta 90.00
_cell_angle_gamma 90.00
loop_
_atom_site_label
_atom_site_fract_x
_atom_site_fract_y
_atom_site_fract_z
K1 0.000 0.000 0.000
Ba1 0.000 0.000 0.500
Sr1 0.500 0.500 0.258
# Formation energy from the elements in meV per atom: 80
# Crystal system: tetragonal



Entry 3:
# KBa7Sr12 PBE relaxed
data_KBa7Sr12
_symmetry_space_group_name_H-M 'I m -3'
_symmetry_Int_Tables_number 204
_symmetry_space_group_name_Hall '-I 2 2 3'
_cell_length_a 14.616
_cell_length_b 14.616
_cell_length_c 14.616
_cell_angle_alpha 90.00
_cell_angle_beta 90.00
_cell_angle_gamma 90.00
loop_
_atom_site_label
_atom_site_fract_x
_atom_site_fract_y
_atom_site_fract_z
K1 0.000 0.000 0.000
Ba1 0.000 0.000 0.500
Ba2 0.250 0.250 0.250
Sr1 0.000 0.236 0.148
# Formation energy from the elements in meV per atom: 481
# Crystal system: cubic



Entry 4:
# K2BaSr2 PBE relaxed
data_K2BaSr2
_symmetry_space_group_name_H-M 'I 4/m m m'
_symmetry_Int_Tables_number 139
_symmetry_space_group_name_Hall '-I 4 2'
_cell_length_a 5.896
_cell_length_b 5.896
_cell_length_c 18.935
_cell_angle_alpha 90.00
_cell_angle_beta 90.00
_cell_angle_gamma 90.00
loop_
_atom_site_label
_atom_site_fract_x
_atom_site_fract_y
_atom_site_fract_z
K1 0.000 0.000 0.096
Ba1 0.000 0.000 0.500
Sr1 0.000 0.500 0.250
# Formation energy from the elements in meV per atom: 262
# Crystal system: tetragonal



Entry 5:
# KBaSr2 PBE relaxed
data_KBaSr2
_symmetry_space_group_name_H-M 'P m m 2'
_symmetry_Int_Tables_number 25
_symmetry_space_group_name_Hall 'P 2 -2'
_cell_length_a 4.353
_cell_length_b 6.261
_cell_length_c 8.884
_cell_angle_alpha 90.00
_cell_angle_beta 90.00
_cell_angle_gamma 90.00
loop_
_atom_site_label
_atom_site_fract_x
_atom_site_fract_y
_atom_site_fract_z
K1 0.000 0.000 0.000
Ba1 0.500 0.500 0.737
Sr1 0.000 0.000 0.490
Sr2 0.500 0.500 0.258
# Formation energy from the elements in meV per atom: 75
# Crystal system: orthorhombic



Entry 6:
# KBaSr2 PBE relaxed
data_KBaSr2
_symmetry_space_group_name_H-M 'R 3 m'
_symmetry_Int_Tables_number 160
_symmetry_space_group_name_Hall 'R 3 -2"'
_cell_length_a 4.3606
_cell_length_b 4.3606
_cell_length_c 44.1257
_cell_angle_alpha 90.00
_cell_angle_beta 90.00
_cell_angle_gamma 120.00
loop_
_atom_site_label
_atom_site_fract_x
_atom_site_fract_y
_atom_site_fract_z
K1 0.0000 0.0000 0.0000
Ba1 0.0000 0.0000 0.1668
Sr1 0.0000 0.0000 0.4190
Sr2 0.0000 0.0000 0.5812
# Formation energy from the elements in meV per atom: 51
# Crystal system: trigonal



Entry 7:
# KBaSr2 PBE relaxed
data_KBaSr2
_symmetry_space_group_name_H-M 'I 4/m m m'
_symmetry_Int_Tables_number 139
_symmetry_space_group_name_Hall '-I 4 2'
_cell_length_a 6.167
_cell_length_b 6.167
_cell_length_c 12.743
_cell_angle_alpha 90.00
_cell_angle_beta 90.00
_cell_angle_gamma 90.00
loop_
_atom_site_label
_atom_site_fract_x
_atom_site_fract_y
_atom_site_fract_z
K1 0.000 0.000 0.000
Ba1 0.000 0.000 0.500
Sr1 0.000 0.500 0.250
# Formation energy from the elements in meV per atom: 97
# Crystal system: tetragonal



Entry 8:
# KBaSr3 PBE relaxed
data_KBaSr3
_symmetry_space_group_name_H-M 'P 1 21/m 1'
_symmetry_Int_Tables_number 11
_symmetry_space_group_name_Hall '-P 2yb'
_cell_length_a 4.190
_cell_length_b 10.941
_cell_length_c 14.443
_cell_angle_alpha 90.00
_cell_angle_beta 98.32
_cell_angle_gamma 90.00
loop_
_atom_site_label
_atom_site_fract_x
_atom_site_fract_y
_atom_site_fract_z
K1 0.243 0.250 0.485
Ba1 0.500 0.000 0.000
Sr1 0.134 0.567 0.269
Sr2 0.394 0.750 0.789
# Formation energy from the elements in meV per atom: 203
# Crystal system: monoclinic



Entry 9:
# KBa4Sr2 PBE relaxed
data_KBa4Sr2
_symmetry_space_group_name_H-M 'R -3 m'
_symmetry_Int_Tables_number 166
_symmetry_space_group_name_Hall '-R 3 2"'
_cell_length_a 4.3330
_cell_length_b 4.3330
_cell_length_c 80.2217
_cell_angle_alpha 90.00
_cell_angle_beta 90.00
_cell_angle_gamma 120.00
loop_
_atom_site_label
_atom_site_fract_x
_atom_site_fract_y
_atom_site_fract_z
K1 0.0000 0.0000 0.0000
Ba1 0.0000 0.0000 0.1432
Ba2 0.0000 0.0000 0.2847
Sr1 0.0000 0.0000 0.2349
# Formation energy from the elements in meV per atom: 97
# Crystal system: trigonal



Entry 10:
# KBa12Sr3 PBE relaxed
data_KBa12Sr3
_symmetry_space_group_name_H-M 'P 4/m m m'
_symmetry_Int_Tables_number 123
_symmetry_space_group_name_Hall '-P 4 2'
_cell_length_a 6.343
_cell_length_b 6.343
_cell_length_c 25.194
_cell_angle_alpha 90.00
_cell_angle_beta 90.00
_cell_angle_gamma 90.00
loop_
_atom_site_label
_atom_site_fract_x
_atom_site_fract_y
_atom_site_fract_z
K1 0.000 0.000 0.000
Ba1 0.000 0.500 0.131
Ba2 0.000 0.500 0.377
Ba3 0.500 0.500 0.000
Ba4 0.500 0.500 0.254
Ba5 0.500 0.500 0.500
Sr1 0.000 0.000 0.255
Sr2 0.000 0.000 0.500
# Formation energy from the elements in meV per atom: 38
# Crystal system: tetragonal



Entry 11:
# KBaSr3 PBE relaxed
data_KBaSr3
_symmetry_space_group_name_H-M 'P m -3 m'
_symmetry_Int_Tables_number 221
_symmetry_space_group_name_Hall '-P 4 2 3'
_cell_length_a 7.079
_cell_length_b 7.079
_cell_length_c 7.079
_cell_angle_alpha 90.00
_cell_angle_beta 90.00
_cell_angle_gamma 90.00
loop_
_atom_site_label
_atom_site_fract_x
_atom_site_fract_y
_atom_site_fract_z
K1 0.000 0.000 0.000
Ba1 0.500 0.500 0.500
Sr1 0.000 0.500 0.500
# Formation energy from the elements in meV per atom: 557
# Crystal system: cubic



Entry 12:
# KBaSr2 PBE relaxed
data_KBaSr2
_symmetry_space_group_name_H-M 'P 1 m 1'
_symmetry_Int_Tables_number 6
_symmetry_space_group_name_Hall 'P -2y'
_cell_length_a 4.251
_cell_length_b 7.014
_cell_length_c 8.217
_cell_angle_alpha 90.00
_cell_angle_beta 99.51
_cell_angle_gamma 90.00
loop_
_atom_site_label
_atom_site_fract_x
_atom_site_fract_y
_atom_site_fract_z
K1 0.000 0.000 0.000
Ba1 0.242 0.500 0.742
Sr1 0.516 0.000 0.494
Sr2 0.782 0.500 0.256
# Formation energy from the elements in meV per atom: 78
# Crystal system: monoclinic



| no. | E_tot (eV/atom) |
| --- | --- |
| 1 | -1.60 |
| 2 | -1.52 |
| 3 | -1.26 |
| 4 | -1.23 |
| 5 | -1.52 |
| 6 | -1.54 |
| 7 | -1.50 |
| 8 | -1.41 |
| 9 | -1.64 |
| 10 | -1.79 |
| 11 | -1.06 |
| 12 | -1.52 |